# 1
A plane-wave DFT calculation with GGA-PBE was carried out for a geometry-optimized RePBr2 structure.

Properties
- final energy (eV per atom) = -4.07
- polymorph energy (0 for the lowest one) (eV/f.u.) = 4.92
- energy relative to the elements, uncorrected (eV/atom) = 1.2302
- SG = No. 123

Geometry as CIF:
```
data_RePBr2
_symmetry_space_group_name_H-M 'P 1'
_symmetry_Int_Tables_number 1
_cell_length_a 3.0500
_cell_length_b 3.0500
_cell_length_c 8.7867
_cell_angle_alpha 90.00
_cell_angle_beta 90.00
_cell_angle_gamma 90.00
loop_
_symmetry_equiv_pos_as_xyz
'x,y,z'
loop_
_atom_site_label
_atom_site_type_symbol
_atom_site_fract_x
_atom_site_fract_y
_atom_site_fract_z
Br1 Br 0.0000 0.0000 0.9364
Br2 Br 0.0000 0.0000 0.5636
P1 P 0.5000 0.5000 0.2500
Re1 Re 0.5000 0.5000 0.7500
```

# 2
A plane-wave DFT calculation with GGA-PBE was carried out for a geometry-optimized Ba6Cu2Ir structure.

Properties
- formation energy from the elements (eV per atom) = -0.064
- final energy (eV per atom) = -3.24
- SG = No. 14

Geometry as CIF:
```
data_Ba6Cu2Ir
_symmetry_space_group_name_H-M 'P 1'
_symmetry_Int_Tables_number 1
_cell_length_a 7.5860
_cell_length_b 8.0565
_cell_length_c 13.6640
_cell_angle_alpha 90.00
_cell_angle_beta 90.00
_cell_angle_gamma 90.00
loop_
_symmetry_equiv_pos_as_xyz
'x,y,z'
loop_
_atom_site_label
_atom_site_type_symbol
_atom_site_fract_x
_atom_site_fract_y
_atom_site_fract_z
Ba1 Ba 0.2330 0.1606 0.6594
Ba2 Ba 0.2333 0.1600 0.3405
Ba3 Ba 0.2757 0.1812 0.0001
Ba4 Ba 0.7757 0.3188 0.4999
Ba5 Ba 0.7333 0.3400 0.1595
Ba6 Ba 0.7330 0.3394 0.8406
Ba7 Ba 0.7670 0.8394 0.3406
Ba8 Ba 0.7667 0.8400 0.6595
Ba9 Ba 0.7243 0.8188 0.9999
Ba10 Ba 0.2243 0.6812 0.5001
Ba11 Ba 0.2667 0.6600 0.8405
Ba12 Ba 0.2670 0.6606 0.1594
Cu1 Cu 0.5009 0.0001 0.1774
Cu2 Cu 0.0009 0.4999 0.3226
Cu3 Cu 0.9991 0.5001 0.6774
Cu4 Cu 0.4991 0.9999 0.8226
Ir1 Ir 0.5000 0.5000 0.0000
Ir2 Ir 0.0000 0.0000 0.5000
```

# 3
A plane-wave DFT calculation with GGA-PBE was carried out for a geometry-optimized PuNiN2 structure.

Properties
- final energy (eV per atom) = -9.74
- energy relative to the elements, uncorrected (eV/atom) = -0.5441
- SG = No. 166

Geometry as CIF:
```
data_PuNiN2
_symmetry_space_group_name_H-M 'P 1'
_symmetry_Int_Tables_number 1
_cell_length_a 3.5364
_cell_length_b 3.5364
_cell_length_c 5.7751
_cell_angle_alpha 72.17
_cell_angle_beta 72.17
_cell_angle_gamma 60.00
loop_
_symmetry_equiv_pos_as_xyz
'x,y,z'
loop_
_atom_site_label
_atom_site_type_symbol
_atom_site_fract_x
_atom_site_fract_y
_atom_site_fract_z
Ni1 Ni 0.0000 0.0000 0.0000
N1 N 0.1104 0.1104 0.6686
N2 N 0.8896 0.8896 0.3314
Pu1 Pu 0.5000 0.5000 0.5000
```

# 4
A plane-wave DFT calculation with GGA-PBE was carried out for a geometry-optimized Ba3Ta4TiO15 structure.

Properties
- final energy (eV per atom) = -8.89
- polymorph energy (0 for the lowest one) (eV/f.u.) = 0.10
- energy relative to the elements, uncorrected (eV/atom) = -3.0046
- SG = No. 127

Geometry as CIF:
```
data_Ba3Ta4TiO15
_symmetry_space_group_name_H-M 'P 1'
_symmetry_Int_Tables_number 1
_cell_length_a 12.7197
_cell_length_b 12.7197
_cell_length_c 3.9897
_cell_angle_alpha 90.00
_cell_angle_beta 90.00
_cell_angle_gamma 90.00
loop_
_symmetry_equiv_pos_as_xyz
'x,y,z'
loop_
_atom_site_label
_atom_site_type_symbol
_atom_site_fract_x
_atom_site_fract_y
_atom_site_fract_z
Ba1 Ba 0.6627 0.1627 0.0000
Ba2 Ba 0.3373 0.8373 0.0000
Ba3 Ba 0.1627 0.3373 0.0000
Ba4 Ba 0.8373 0.6627 0.0000
Ba5 Ba 0.5000 0.5000 0.0000
Ba6 Ba 0.0000 0.0000 0.0000
Ta1 Ta 0.5744 0.7162 0.5000
Ta2 Ta 0.4256 0.2838 0.5000
Ta3 Ta 0.0744 0.7838 0.5000
Ta4 Ta 0.9256 0.2162 0.5000
Ta5 Ta 0.2838 0.5744 0.5000
Ta6 Ta 0.7162 0.4256 0.5000
Ta7 Ta 0.2162 0.0744 0.5000
Ta8 Ta 0.7838 0.9256 0.5000
Ti1 Ti 0.5000 0.0000 0.5000
Ti2 Ti 0.0000 0.5000 0.5000
O1 O 0.8446 0.5051 0.5000
O2 O 0.1554 0.4949 0.5000
O3 O 0.3446 0.9949 0.5000
O4 O 0.6554 0.0051 0.5000
O5 O 0.4949 0.8446 0.5000
O6 O 0.5051 0.1554 0.5000
O7 O 0.0051 0.3446 0.5000
O8 O 0.9949 0.6554 0.5000
O9 O 0.7817 0.2817 0.5000
O10 O 0.2183 0.7183 0.5000
O11 O 0.2817 0.2183 0.5000
O12 O 0.7183 0.7817 0.5000
O13 O 0.5788 0.7064 0.0000
O14 O 0.4212 0.2936 0.0000
O15 O 0.0788 0.7936 0.0000
O16 O 0.9212 0.2064 0.0000
O17 O 0.2936 0.5788 0.0000
O18 O 0.7064 0.4212 0.0000
O19 O 0.2064 0.0788 0.0000
O20 O 0.7936 0.9212 0.0000
O21 O 0.6417 0.5670 0.5000
O22 O 0.3583 0.4330 0.5000
O23 O 0.1417 0.9330 0.5000
O24 O 0.8583 0.0670 0.5000
O25 O 0.4330 0.6417 0.5000
O26 O 0.5670 0.3583 0.5000
O27 O 0.0670 0.1417 0.5000
O28 O 0.9330 0.8583 0.5000
O29 O 0.5000 0.0000 0.0000
O30 O 0.0000 0.5000 0.0000
```

Copy entry 4 word for word.
A plane-wave DFT calculation with GGA-PBE was carried out for a geometry-optimized Ba3Ta4TiO15 structure.

Properties
- final energy (eV per atom) = -8.89
- polymorph energy (0 for the lowest one) (eV/f.u.) = 0.10
- energy relative to the elements, uncorrected (eV/atom) = -3.0046
- SG = No. 127

Geometry as CIF:
```
data_Ba3Ta4TiO15
_symmetry_space_group_name_H-M 'P 1'
_symmetry_Int_Tables_number 1
_cell_length_a 12.7197
_cell_length_b 12.7197
_cell_length_c 3.9897
_cell_angle_alpha 90.00
_cell_angle_beta 90.00
_cell_angle_gamma 90.00
loop_
_symmetry_equiv_pos_as_xyz
'x,y,z'
loop_
_atom_site_label
_atom_site_type_symbol
_atom_site_fract_x
_atom_site_fract_y
_atom_site_fract_z
Ba1 Ba 0.6627 0.1627 0.0000
Ba2 Ba 0.3373 0.8373 0.0000
Ba3 Ba 0.1627 0.3373 0.0000
Ba4 Ba 0.8373 0.6627 0.0000
Ba5 Ba 0.5000 0.5000 0.0000
Ba6 Ba 0.0000 0.0000 0.0000
Ta1 Ta 0.5744 0.7162 0.5000
Ta2 Ta 0.4256 0.2838 0.5000
Ta3 Ta 0.0744 0.7838 0.5000
Ta4 Ta 0.9256 0.2162 0.5000
Ta5 Ta 0.2838 0.5744 0.5000
Ta6 Ta 0.7162 0.4256 0.5000
Ta7 Ta 0.2162 0.0744 0.5000
Ta8 Ta 0.7838 0.9256 0.5000
Ti1 Ti 0.5000 0.0000 0.5000
Ti2 Ti 0.0000 0.5000 0.5000
O1 O 0.8446 0.5051 0.5000
O2 O 0.1554 0.4949 0.5000
O3 O 0.3446 0.9949 0.5000
O4 O 0.6554 0.0051 0.5000
O5 O 0.4949 0.8446 0.5000
O6 O 0.5051 0.1554 0.5000
O7 O 0.0051 0.3446 0.5000
O8 O 0.9949 0.6554 0.5000
O9 O 0.7817 0.2817 0.5000
O10 O 0.2183 0.7183 0.5000
O11 O 0.2817 0.2183 0.5000
O12 O 0.7183 0.7817 0.5000
O13 O 0.5788 0.7064 0.0000
O14 O 0.4212 0.2936 0.0000
O15 O 0.0788 0.7936 0.0000
O16 O 0.9212 0.2064 0.0000
O17 O 0.2936 0.5788 0.0000
O18 O 0.7064 0.4212 0.0000
O19 O 0.2064 0.0788 0.0000
O20 O 0.7936 0.9212 0.0000
O21 O 0.6417 0.5670 0.5000
O22 O 0.3583 0.4330 0.5000
O23 O 0.1417 0.9330 0.5000
O24 O 0.8583 0.0670 0.5000
O25 O 0.4330 0.6417 0.5000
O26 O 0.5670 0.3583 0.5000
O27 O 0.0670 0.1417 0.5000
O28 O 0.9330 0.8583 0.5000
O29 O 0.5000 0.0000 0.0000
O30 O 0.0000 0.5000 0.0000
```